This record from Alexandria describes an optimized crystal structure of CsSm2Ag3Te5. The functional is GGA-PBE.

Summary:
Energy relative to the elements, uncorrected: -0.90 eV/atom
Space-group type: Cmcm (63)

a b c (Å): 8.551 8.551 18.827
angles (deg): 90.00 90.00 148.56
Element x y z (fractional)
1 Cs 0.059 0.941 0.750
2 Cs 0.941 0.059 0.250
3 Sm 0.190 0.810 0.093
4 Sm 0.190 0.810 0.407
5 Sm 0.810 0.190 0.593
6 Sm 0.810 0.190 0.907
7 Ag 0.341 0.659 0.750
8 Ag 0.413 0.587 0.031
9 Ag 0.413 0.587 0.469
10 Ag 0.587 0.413 0.531
11 Ag 0.587 0.413 0.969
12 Ag 0.659 0.341 0.250
13 Te 0.176 0.824 0.573
14 Te 0.176 0.824 0.927
15 Te 0.254 0.746 0.250
16 Te 0.439 0.561 0.619
17 Te 0.439 0.561 0.881
18 Te 0.561 0.439 0.119
19 Te 0.561 0.439 0.381
20 Te 0.746 0.254 0.750
21 Te 0.824 0.176 0.073
22 Te 0.824 0.176 0.427